# 1
# NaBe2Zn2 PBE optimized geometry
# Crystal system: tetragonal
# Energy above the most stable polymorph in this dataset (meV per atom): 157
# Spin magnetization (μB per atom): 0.00
# VASP energy (eV/atom): -1.928
# Formation energy from the elements (meV per atom): 336
data_NaBe2Zn2
_symmetry_space_group_name_H-M 'I 4/m m m'
_symmetry_Int_Tables_number 139
_symmetry_space_group_name_Hall '-I 4 2'
_cell_length_a 4.2736
_cell_length_b 4.2736
_cell_length_c 8.4021
_cell_angle_alpha 90.00
_cell_angle_beta 90.00
_cell_angle_gamma 90.00
loop_
_atom_site_label
_atom_site_fract_x
_atom_site_fract_y
_atom_site_fract_z
Na1 0.0000 0.0000 0.0000
Be1 0.0000 0.0000 0.3701
Zn1 0.0000 0.5000 0.2500

# 2
# NaBe3Zn PBE optimized geometry
# Crystal system: cubic
# Energy above the most stable polymorph in this dataset (meV per atom): 0
# Spin magnetization (μB per atom): 0.00
# VASP energy (eV/atom): -2.090
# Formation energy from the elements (meV per atom): 664
data_NaBe3Zn
_symmetry_space_group_name_H-M 'P m -3 m'
_symmetry_Int_Tables_number 221
_symmetry_space_group_name_Hall '-P 4 2 3'
_cell_length_a 4.2615
_cell_length_b 4.2615
_cell_length_c 4.2615
_cell_angle_alpha 90.00
_cell_angle_beta 90.00
_cell_angle_gamma 90.00
loop_
_atom_site_label
_atom_site_fract_x
_atom_site_fract_y
_atom_site_fract_z
Na1 0.0000 0.0000 0.0000
Be1 0.0000 0.5000 0.5000
Zn1 0.5000 0.5000 0.5000

# 3
# NaZrBeZn2 PBE optimized geometry
# Crystal system: tetragonal
# Spin magnetization (μB per atom): 0.46
# VASP energy (eV/atom): -1.705
# Formation energy from the elements (meV per atom): 1524
data_NaZrBeZn2
_symmetry_space_group_name_H-M 'P 4/m m m'
_symmetry_Int_Tables_number 123
_symmetry_space_group_name_Hall '-P 4 2'
_cell_length_a 5.3034
_cell_length_b 5.3034
_cell_length_c 6.0805
_cell_angle_alpha 90.00
_cell_angle_beta 90.00
_cell_angle_gamma 90.00
loop_
_atom_site_label
_atom_site_fract_x
_atom_site_fract_y
_atom_site_fract_z
Na1 0.0000 0.0000 0.0000
Zr1 0.0000 0.0000 0.5000
Be1 0.5000 0.5000 0.0000
Zn1 0.0000 0.5000 0.5000

# 4
# NaZrBe2 PBE optimized geometry
# Crystal system: tetragonal
# Energy above the most stable polymorph in this dataset (meV per atom): 416
# Spin magnetization (μB per atom): 0.00
# VASP energy (eV/atom): -3.387
# Formation energy from the elements (meV per atom): 943
data_NaZrBe2
_symmetry_space_group_name_H-M 'I -4 2 d'
_symmetry_Int_Tables_number 122
_symmetry_space_group_name_Hall 'I -4 2bw'
_cell_length_a 7.0820
_cell_length_b 7.0820
_cell_length_c 5.6243
_cell_angle_alpha 90.00
_cell_angle_beta 90.00
_cell_angle_gamma 90.00
loop_
_atom_site_label
_atom_site_fract_x
_atom_site_fract_y
_atom_site_fract_z
Na1 0.0000 0.0000 0.0000
Zr1 0.0000 0.0000 0.5000
Be1 0.2482 0.2500 0.6250

# 5
# NaZrBe2 PBE optimized geometry
# Crystal system: cubic
# Energy above the most stable polymorph in this dataset (meV per atom): 0
# Spin magnetization (μB per atom): 0.00
# VASP energy (eV/atom): -3.803
# Formation energy from the elements (meV per atom): 527
data_NaZrBe2
_symmetry_space_group_name_H-M 'F m -3 m'
_symmetry_Int_Tables_number 225
_symmetry_space_group_name_Hall '-F 4 2 3'
_cell_length_a 6.3517
_cell_length_b 6.3517
_cell_length_c 6.3517
_cell_angle_alpha 90.00
_cell_angle_beta 90.00
_cell_angle_gamma 90.00
loop_
_atom_site_label
_atom_site_fract_x
_atom_site_fract_y
_atom_site_fract_z
Na1 0.0000 0.0000 0.0000
Zr1 0.0000 0.0000 0.5000
Be1 0.2500 0.2500 0.2500

# 6
# NaZr3Be PBE optimized geometry
# Crystal system: cubic
# Energy above the most stable polymorph in this dataset (meV per atom): 0
# Spin magnetization (μB per atom): 0.00
# VASP energy (eV/atom): -5.551
# Formation energy from the elements (meV per atom): 587
data_NaZr3Be
_symmetry_space_group_name_H-M 'P m -3 m'
_symmetry_Int_Tables_number 221
_symmetry_space_group_name_Hall '-P 4 2 3'
_cell_length_a 4.8691
_cell_length_b 4.8691
_cell_length_c 4.8691
_cell_angle_alpha 90.00
_cell_angle_beta 90.00
_cell_angle_gamma 90.00
loop_
_atom_site_label
_atom_site_fract_x
_atom_site_fract_y
_atom_site_fract_z
Na1 0.0000 0.0000 0.0000
Zr1 0.0000 0.5000 0.5000
Be1 0.5000 0.5000 0.5000

# 7
# NaZr3Be PBE optimized geometry
# Crystal system: cubic
# Energy above the most stable polymorph in this dataset (meV per atom): 1138
# Spin magnetization (μB per atom): 0.00
# VASP energy (eV/atom): -4.413
# Formation energy from the elements (meV per atom): 1725
data_NaZr3Be
_symmetry_space_group_name_H-M 'P m -3 m'
_symmetry_Int_Tables_number 221
_symmetry_space_group_name_Hall '-P 4 2 3'
_cell_length_a 4.9271
_cell_length_b 4.9271
_cell_length_c 4.9271
_cell_angle_alpha 90.00
_cell_angle_beta 90.00
_cell_angle_gamma 90.00
loop_
_atom_site_label
_atom_site_fract_x
_atom_site_fract_y
_atom_site_fract_z
Na1 0.0000 0.0000 0.0000
Zr1 0.0000 0.0000 0.5000
Be1 0.5000 0.5000 0.5000

# 8
# Be6Nb PBE optimized geometry
# Crystal system: orthorhombic
# Spin magnetization (μB per atom): 0.00
# VASP energy (eV/atom): -4.762
# Formation energy from the elements (meV per atom): -130
data_Be6Nb
_symmetry_space_group_name_H-M 'P n m a'
_symmetry_Int_Tables_number 62
_cell_length_a 6.9162
_cell_length_b 4.3560
_cell_length_c 8.7605
_cell_angle_alpha 90.00
_cell_angle_beta 90.00
_cell_angle_gamma 90.00
loop_
_symmetry_equiv_pos_as_xyz
'x,y,z'
'-x,-y,-z'
'-x+1/2,-y,z+1/2'
'x+1/2,y,-z+1/2'
'x+1/2,-y+1/2,-z+1/2'
'-x+1/2,y+1/2,z+1/2'
'-x,y+1/2,-z'
'x,-y+1/2,z'
loop_
_atom_site_label
_atom_site_fract_x
_atom_site_fract_y
_atom_site_fract_z
Be1 0.0600 0.0091 0.1879
Be2 0.0628 0.7500 0.3978
Be3 0.0969 0.2500 0.9776
Be4 0.1477 0.7500 0.6485
Be5 0.1965 0.2500 0.7510
Nb1 0.2317 0.2500 0.4393

# 9
# BeNb PBE optimized geometry
# Crystal system: orthorhombic
# Spin magnetization (μB per atom): 0.00
# VASP energy (eV/atom): -6.931
# Formation energy from the elements (meV per atom): -33
data_BeNb
_symmetry_space_group_name_H-M 'I m m m'
_symmetry_Int_Tables_number 71
_symmetry_space_group_name_Hall '-I 2 2'
_cell_length_a 3.4731
_cell_length_b 3.6214
_cell_length_c 13.0275
_cell_angle_alpha 90.00
_cell_angle_beta 90.00
_cell_angle_gamma 90.00
loop_
_atom_site_label
_atom_site_fract_x
_atom_site_fract_y
_atom_site_fract_z
Be1 0.0000 0.0000 0.0000
Be2 0.0000 0.5000 0.3698
Nb1 0.0000 0.0000 0.5000
Nb2 0.0000 0.5000 0.1756

# 10
# BeNb PBE optimized geometry
# Crystal system: cubic
# Spin magnetization (μB per atom): 0.00
# VASP energy (eV/atom): -5.312
# Formation energy from the elements (meV per atom): 1585
data_BeNb
_symmetry_space_group_name_H-M 'F -4 3 m'
_symmetry_Int_Tables_number 216
_symmetry_space_group_name_Hall 'F -4 2 3'
_cell_length_a 5.2426
_cell_length_b 5.2426
_cell_length_c 5.2426
_cell_angle_alpha 90.00
_cell_angle_beta 90.00
_cell_angle_gamma 90.00
loop_
_atom_site_label
_atom_site_fract_x
_atom_site_fract_y
_atom_site_fract_z
Be1 0.0000 0.0000 0.0000
Nb1 0.2500 0.2500 0.7500

# 11
# BeNb4 PBE optimized geometry
# Crystal system: cubic
# Energy above the most stable polymorph in this dataset (meV per atom): 0
# Spin magnetization (μB per atom): 0.00
# VASP energy (eV/atom): -8.240
# Formation energy from the elements (meV per atom): 561
data_BeNb4
_symmetry_space_group_name_H-M 'P m -3 m'
_symmetry_Int_Tables_number 221
_symmetry_space_group_name_Hall '-P 4 2 3'
_cell_length_a 4.4636
_cell_length_b 4.4636
_cell_length_c 4.4636
_cell_angle_alpha 90.00
_cell_angle_beta 90.00
_cell_angle_gamma 90.00
loop_
_atom_site_label
_atom_site_fract_x
_atom_site_fract_y
_atom_site_fract_z
Be1 0.0000 0.0000 0.0000
Nb1 0.0000 0.0000 0.5000
Nb2 0.5000 0.5000 0.5000

# 12
# Be12Nb PBE optimized geometry
# Crystal system: tetragonal
# Spin magnetization (μB per atom): 0.00
# VASP energy (eV/atom): -4.379
# Formation energy from the elements (meV per atom): -165
data_Be12Nb
_symmetry_space_group_name_H-M 'I 4/m m m'
_symmetry_Int_Tables_number 139
_symmetry_space_group_name_Hall '-I 4 2'
_cell_length_a 7.3211
_cell_length_b 7.3211
_cell_length_c 4.2113
_cell_angle_alpha 90.00
_cell_angle_beta 90.00
_cell_angle_gamma 90.00
loop_
_atom_site_label
_atom_site_fract_x
_atom_site_fract_y
_atom_site_fract_z
Be1 0.0000 0.2174 0.0000
Be2 0.0000 0.3528 0.5000
Be3 0.2500 0.2500 0.2500
Nb1 0.0000 0.0000 0.5000

# 13
# Be3Nb2 PBE optimized geometry
# Crystal system: orthorhombic
# Spin magnetization (μB per atom): 0.00
# VASP energy (eV/atom): -6.451
# Formation energy from the elements (meV per atom): -188
data_Be3Nb2
_symmetry_space_group_name_H-M 'C m c e'
_symmetry_Int_Tables_number 64
_symmetry_space_group_name_Hall '-C 2ac 2'
_cell_length_a 4.6352
_cell_length_b 8.4488
_cell_length_c 6.2454
_cell_angle_alpha 90.00
_cell_angle_beta 90.00
_cell_angle_gamma 90.00
loop_
_atom_site_label
_atom_site_fract_x
_atom_site_fract_y
_atom_site_fract_z
Be1 0.0000 0.0000 0.0000
Be2 0.2500 0.0850 0.2500
Nb1 0.0000 0.1707 0.6026

# 14
# BeNb PBE optimized geometry
# Crystal system: hexagonal
# Spin magnetization (μB per atom): 0.00
# VASP energy (eV/atom): -5.809
# Formation energy from the elements (meV per atom): 1089
data_BeNb
_symmetry_space_group_name_H-M 'P 63/m m c'
_symmetry_Int_Tables_number 194
_symmetry_space_group_name_Hall '-P 6c 2c'
_cell_length_a 4.1158
_cell_length_b 4.1158
_cell_length_c 4.7285
_cell_angle_alpha 90.00
_cell_angle_beta 90.00
_cell_angle_gamma 120.00
loop_
_atom_site_label
_atom_site_fract_x
_atom_site_fract_y
_atom_site_fract_z
Be1 0.3333 0.6667 0.2500
Nb1 0.3333 0.6667 0.7500

# 15
# BeNb PBE optimized geometry
# Crystal system: hexagonal
# Spin magnetization (μB per atom): 0.00
# VASP energy (eV/atom): -6.540
# Formation energy from the elements (meV per atom): 358
data_BeNb
_symmetry_space_group_name_H-M 'P 63/m'
_symmetry_Int_Tables_number 176
_symmetry_space_group_name_Hall '-P 6c'
_cell_length_a 6.4908
_cell_length_b 6.4908
_cell_length_c 4.6801
_cell_angle_alpha 90.00
_cell_angle_beta 90.00
_cell_angle_gamma 120.00
loop_
_atom_site_label
_atom_site_fract_x
_atom_site_fract_y
_atom_site_fract_z
Be1 0.1464 0.6578 0.2500
Nb1 0.1067 0.7761 0.7500

# 16
# BeNb PBE optimized geometry
# Crystal system: cubic
# Spin magnetization (μB per atom): 0.00
# VASP energy (eV/atom): -6.636
# Formation energy from the elements (meV per atom): 262
data_BeNb
_symmetry_space_group_name_H-M 'F m -3 m'
_symmetry_Int_Tables_number 225
_symmetry_space_group_name_Hall '-F 4 2 3'
_cell_length_a 4.8393
_cell_length_b 4.8393
_cell_length_c 4.8393
_cell_angle_alpha 90.00
_cell_angle_beta 90.00
_cell_angle_gamma 90.00
loop_
_atom_site_label
_atom_site_fract_x
_atom_site_fract_y
_atom_site_fract_z
Be1 0.0000 0.0000 0.0000
Nb1 0.0000 0.0000 0.5000

# 17
# BeNb PBE optimized geometry
# Crystal system: tetragonal
# Spin magnetization (μB per atom): 0.00
# VASP energy (eV/atom): -6.030
# Formation energy from the elements (meV per atom): 868
data_BeNb
_symmetry_space_group_name_H-M 'I 4/m c m'
_symmetry_Int_Tables_number 140
_symmetry_space_group_name_Hall '-I 4 2c'
_cell_length_a 8.5667
_cell_length_b 8.5667
_cell_length_c 4.5567
_cell_angle_alpha 90.00
_cell_angle_beta 90.00
_cell_angle_gamma 90.00
loop_
_atom_site_label
_atom_site_fract_x
_atom_site_fract_y
_atom_site_fract_z
Be1 0.1904 0.3096 0.0000
Nb1 0.1091 0.3909 0.5000

# 18
# BeNb PBE optimized geometry
# Crystal system: monoclinic
# Spin magnetization (μB per atom): 0.00
# VASP energy (eV/atom): -7.046
# Formation energy from the elements (meV per atom): -148
data_BeNb
_symmetry_space_group_name_H-M 'P 1 21/m 1'
_symmetry_Int_Tables_number 11
_cell_length_a 3.3799
_cell_length_b 3.4522
_cell_length_c 4.8884
_cell_angle_alpha 90.00
_cell_angle_beta 110.13
_cell_angle_gamma 90.00
loop_
_symmetry_equiv_pos_as_xyz
'x,y,z'
'-x,-y,-z'
'-x,y+1/2,-z'
'x,-y+1/2,z'
loop_
_atom_site_label
_atom_site_fract_x
_atom_site_fract_y
_atom_site_fract_z
Be1 0.0656 0.2500 0.1320
Nb1 0.3492 0.2500 0.6967

# 19
# BeNb PBE optimized geometry
# Crystal system: tetragonal
# Spin magnetization (μB per atom): 0.00
# VASP energy (eV/atom): -6.686
# Formation energy from the elements (meV per atom): 211
data_BeNb
_symmetry_space_group_name_H-M 'P 4/m'
_symmetry_Int_Tables_number 83
_cell_length_a 8.2403
_cell_length_b 8.2403
_cell_length_c 3.4313
_cell_angle_alpha 90.00
_cell_angle_beta 90.00
_cell_angle_gamma 90.00
loop_
_symmetry_equiv_pos_as_xyz
'x,y,z'
'-x,-y,-z'
'-y,x,z'
'y,-x,-z'
'-x,-y,z'
'x,y,-z'
'y,-x,z'
'-y,x,-z'
loop_
_atom_site_label
_atom_site_fract_x
_atom_site_fract_y
_atom_site_fract_z
Be1 0.0431 0.8136 0.0000
Be2 0.0964 0.1705 0.5000
Nb1 0.1196 0.6055 0.5000
Nb2 0.2446 0.3494 0.0000

# 20
# BeNb3 PBE optimized geometry
# Crystal system: orthorhombic
# Spin magnetization (μB per atom): 0.00
# VASP energy (eV/atom): -8.114
# Formation energy from the elements (meV per atom): 370
data_BeNb3
_symmetry_space_group_name_H-M 'P m m 2'
_symmetry_Int_Tables_number 25
_cell_length_a 2.7207
_cell_length_b 2.8130
_cell_length_c 8.8448
_cell_angle_alpha 90.00
_cell_angle_beta 90.00
_cell_angle_gamma 90.00
loop_
_symmetry_equiv_pos_as_xyz
'x,y,z'
'-x,-y,z'
'-x,y,z'
'x,-y,z'
loop_
_atom_site_label
_atom_site_fract_x
_atom_site_fract_y
_atom_site_fract_z
Be1 0.0000 0.0000 0.0000
Nb1 0.0000 0.5000 0.2405
Nb2 0.5000 0.0000 0.5120
Nb3 0.5000 0.5000 0.8122

# 21
# BeNb PBE optimized geometry
# Crystal system: cubic
# Spin magnetization (μB per atom): 0.00
# VASP energy (eV/atom): -5.064
# Formation energy from the elements (meV per atom): 1834
data_BeNb
_symmetry_space_group_name_H-M 'P m -3 n'
_symmetry_Int_Tables_number 223
_symmetry_space_group_name_Hall '-P 4n 2 3'
_cell_length_a 6.4688
_cell_length_b 6.4688
_cell_length_c 6.4688
_cell_angle_alpha 90.00
_cell_angle_beta 90.00
_cell_angle_gamma 90.00
loop_
_atom_site_label
_atom_site_fract_x
_atom_site_fract_y
_atom_site_fract_z
Be1 0.0000 0.2500 0.5000
Nb1 0.0000 0.5000 0.2500

# 22
# BeNb PBE optimized geometry
# Crystal system: tetragonal
# Spin magnetization (μB per atom): 0.00
# VASP energy (eV/atom): -6.624
# Formation energy from the elements (meV per atom): 274
data_BeNb
_symmetry_space_group_name_H-M 'P 42/m n m'
_symmetry_Int_Tables_number 136
_symmetry_space_group_name_Hall '-P 4n 2n'
_cell_length_a 4.8109
_cell_length_b 4.8109
_cell_length_c 4.9031
_cell_angle_alpha 90.00
_cell_angle_beta 90.00
_cell_angle_gamma 90.00
loop_
_atom_site_label
_atom_site_fract_x
_atom_site_fract_y
_atom_site_fract_z
Be1 0.1669 0.1669 0.0000
Nb1 0.1868 0.1868 0.5000

# 23
# BeNb2 PBE optimized geometry
# Crystal system: tetragonal
# Spin magnetization (μB per atom): 0.00
# VASP energy (eV/atom): -7.909
# Formation energy from the elements (meV per atom): 46
data_BeNb2
_symmetry_space_group_name_H-M 'I 4/m m m'
_symmetry_Int_Tables_number 139
_symmetry_space_group_name_Hall '-I 4 2'
_cell_length_a 3.3376
_cell_length_b 3.3376
_cell_length_c 8.2828
_cell_angle_alpha 90.00
_cell_angle_beta 90.00
_cell_angle_gamma 90.00
loop_
_atom_site_label
_atom_site_fract_x
_atom_site_fract_y
_atom_site_fract_z
Be1 0.0000 0.0000 0.0000
Nb1 0.0000 0.0000 0.3440